[1]
Density functional theory data (SCAN) for a PBEsol-optimized structure of AlHOs2.

Geometry as extended XYZ:
```
8
Lattice="4.8593 0.0000 0.0000 2.4296 4.3261 0.0000 2.4296 0.0000 4.3261" Properties=species:S:1:pos:R:3 pbc="T T T"
H 2.4296 0.0000 0.0000
H 3.6445 2.1631 2.1631
Os 7.8963 3.8994 2.5898
Os 3.0370 0.4267 1.7364
Os 4.2519 2.5898 0.4267
Os 4.2519 1.7364 3.8994
Al 0.0000 0.0000 0.0000
Al 6.0741 2.1631 2.1631
```

Total moment in μB per cell: 0.00
D(E_F) in states/eV per atom: 0.519
Total energy in eV per atom: -38.541
Symmetry: I-42d, No. 122


[2]
Density functional theory data (SCAN) for a PBEsol-optimized structure of La2CdSe4.

Geometry as extended XYZ:
```
14
Lattice="7.7103 -0.0068 -0.0114 -2.7556 7.2011 0.0114 -2.7556 -3.4055 6.3449" Properties=species:S:1:pos:R:3 pbc="T T T"
La 3.6799 5.4206 1.6290
La 2.5804 -0.3797 0.7888
La -2.8586 -0.6830 6.3050
La 0.9966 3.2195 3.9670
Cd 1.0996 -0.7573 4.7558
Cd -2.7556 1.8978 3.1782
Se 2.6749 1.4285 5.5626
Se 2.7657 2.6401 1.5676
Se 5.3356 0.8702 0.0101
Se -3.8450 4.6807 4.6682
Se -1.1802 1.5713 5.4851
Se -1.2752 4.1489 2.3714
Se 4.0880 -0.7829 3.2658
Se 0.2329 0.5981 2.4489
```

Total moment in μB per cell: 0.00
Formation energy (no corrections) in kcal/mol of atoms: -40.50
D(E_F) in states/eV per atom: 0.000
Symmetry: I-42d, No. 122


[3]
Density functional theory data (SCAN) for a PBEsol-optimized structure of CsAlGe.

Geometry as extended XYZ:
```
6
Lattice="0.0516 0.8873 4.2441 4.2080 -1.0312 0.1642 2.2024 8.6806 -1.8484" Properties=species:S:1:pos:R:3 pbc="T T T"
Cs 1.4065 1.3049 0.8126
Cs 5.0553 7.2318 1.7473
Ge 2.5277 5.7342 -0.1244
Ge 3.9342 2.8025 2.6843
Al 2.1921 4.7484 2.2996
Al 4.2697 3.7884 0.2603
```

Total moment in μB per cell: 0.00
D(E_F) in states/eV per atom: 0.144
Energy relative to the elements in eV per atom: -0.216
Symmetry: P2_1/m, No. 11


[4]
Density functional theory data (SCAN) for a PBEsol-optimized structure of Re2TcPt.

Geometry as extended XYZ:
```
4
Lattice="-0.0677 -0.8193 2.5941 -1.2275 -2.3065 -0.7605 6.9858 -3.4217 -0.8983" Properties=species:S:1:pos:R:3 pbc="T T T"
Pt 2.8453 -3.2737 0.4677
Re 5.3015 -2.5967 -0.6817
Re 1.6843 -0.8250 -0.2166
Tc -0.6476 -1.5629 0.9168
```

Total moment in μB per cell: 0.00
D(E_F) in states/eV per atom: 0.711
ΔE to the lowest computed polymorph in meV per atom: 95
Energy relative to the elements in eV per atom: -0.041
Symmetry: P4/mmm, No. 123


[5]
Density functional theory data (SCAN) for a PBEsol-optimized structure of BePtRh2.

Geometry as extended XYZ:
```
4
Lattice="2.7184 0.0000 0.0000 0.0000 2.7184 0.0000 0.0000 0.0000 6.6933" Properties=species:S:1:pos:R:3 pbc="T T T"
Be 0.0000 0.0000 3.3256
Rh 0.0000 0.0000 0.0634
Rh 1.3592 1.3592 1.9170
Pt 1.3592 1.3592 4.7340
```

Total moment in μB per cell: 0.00
D(E_F) in states/eV per atom: 1.180
Energy relative to the elements in eV per atom: -0.405
Symmetry: P4mm, No. 99


[6]
Density functional theory data (SCAN) for a PBEsol-optimized structure of TiAlCo3.

Geometry as extended XYZ:
```
5
Lattice="-0.0087 -3.5091 -2.0952 3.7294 0.8502 -1.4395 1.6718 -1.9149 3.2003" Properties=species:S:1:pos:R:3 pbc="T T T"
Co 1.8647 0.4251 -0.7198
Co 0.8359 -0.9575 1.6001
Co -0.0044 -1.7546 -1.0476
Al 0.0000 0.0000 0.0000
Ti 2.6963 -2.2869 -0.1672
```

Total moment in μB per cell: 0.00
D(E_F) in states/eV per atom: 0.220
Energy relative to the elements in eV per atom: 0.820
Symmetry: Pm-3m, No. 221